Computed, not measured: crystalline NaSrPrMnO6 at its relaxed geometry at the PBE+U level of DFT.

Properties
Density of states at the Fermi level, states/eV per atom: 0.34
Final energy, eV per atom: -6.354

a = 5.9547 Å, b = 5.9547 Å, c = 5.9547 Å
α = 60.00°, β = 60.00°, γ = 60.00°
Closest atoms and distances in Å follow each position.
Positions (direct):
Na: 0.0000 0.0000 0.0000  12 O 2.98
Sr: 0.5000 0.5000 0.5000  12 O 2.98
Pr: 0.2500 0.2500 0.2500  6 O 2.32
Mn: 0.7500 0.7500 0.7500  6 O 1.89
O: 0.5253 0.5253 0.9747  1 Mn 1.89
O: 0.5253 0.9747 0.5253  1 Mn 1.89
O: 0.5253 0.9747 0.9747  1 Mn 1.89
O: 0.9747 0.5253 0.5253  1 Mn 1.89
O: 0.9747 0.5253 0.9747  1 Mn 1.89
O: 0.9747 0.9747 0.5253  1 Mn 1.89